(1)
A geometry-optimized Ca4Ge2Au5 structure. Source: Alexandria, functional PBE.

Results
The uncorrected energy is -3.719 eV per atom.

Cell: 4.104 7.277 8.588 Å, 92.49 90.00 90.00°
Element x y z (fractional)
Au 0.000 0.436 0.660
Au 0.000 0.851 0.866
Au 0.000 0.564 0.340
Au 0.000 0.149 0.134
Au 0.000 0.500 0.000
Ge 0.000 0.930 0.369
Ge 0.000 0.070 0.631
Ca 0.500 0.782 0.127
Ca 0.500 0.743 0.598
Ca 0.500 0.257 0.402
Ca 0.500 0.218 0.873

---

(2)
A geometry-optimized Ca2Ge3Au17 structure. Source: Alexandria, functional PBE.

Results
The uncorrected energy is -3.373 eV per atom.

Cell: 7.883 7.883 7.883 Å, 84.01 84.01 84.01°
Element x y z (fractional)
Ca 0.705 0.705 0.705
Ca 0.295 0.295 0.295
Au 0.314 0.314 0.873
Au 0.686 0.686 0.127
Au 0.873 0.314 0.314
Au 0.000 0.735 0.265
Au 0.127 0.686 0.686
Au 0.093 0.093 0.093
Au 0.265 0.000 0.735
Au 0.907 0.907 0.907
Au 0.000 0.265 0.735
Au 0.000 0.500 0.000
Au 0.735 0.265 0.000
Au 0.000 0.000 0.500
Au 0.735 0.000 0.265
Au 0.686 0.127 0.686
Au 0.314 0.873 0.314
Au 0.265 0.735 0.000
Au 0.500 0.000 0.000
Ge 0.000 0.500 0.500
Ge 0.500 0.000 0.500
Ge 0.500 0.500 0.000

---

(3)
A geometry-optimized Ca2Ge3Au6 structure. Source: Alexandria, functional PBE.

Results
The uncorrected energy is -3.834 eV per atom.

Cell: 4.546 7.755 7.755 Å, 120.00 90.00 90.00°
Element x y z (fractional)
Au 0.000 0.215 0.215
Au 0.000 0.785 0.000
Au 0.500 0.000 0.314
Au 0.500 0.314 0.000
Au 0.000 0.000 0.785
Au 0.500 0.686 0.686
Ge 0.500 0.637 0.000
Ge 0.500 0.363 0.363
Ge 0.500 0.000 0.637
Ca 0.000 0.333 0.667
Ca 0.000 0.667 0.333